# 1
Computed, not measured: a geometry-optimized Ti4GePd structure at the PBE level of DFT.

Lattice parameters (Å, degrees): 4.5496 5.3012 9.3461 90.00 104.09 90.00
Positions (direct):
Ti 0.8676 0.3215 0.7353
Ti 0.1324 0.8215 0.2647
Ti 0.4265 0.8230 0.8530
Ti 0.5735 0.3230 0.1470
Ti 0.7076 0.5686 0.4153
Ti 0.2924 0.0686 0.5847
Ti 0.7076 0.0753 0.4152
Ti 0.2924 0.5753 0.5848
Ge 0.8420 0.8218 0.6841
Ge 0.1580 0.3218 0.3159
Pd 0.5658 0.8231 0.1316
Pd 0.4342 0.3231 0.8684

- Formation energy from the elements: -207 meV per atom
- Magnetization: 0.0 μB/cell
- Symmetry: Cmc2_1 (36)

***

# 2
Computed, not measured: a geometry-optimized Cu2PbAu structure at the PBE level of DFT.

Lattice parameters (Å, degrees): 7.3516 7.3516 5.9328 51.71 51.71 90.00
Positions (direct):
Pb 0.0000 0.0000 0.0000
Pb 0.7500 0.2500 0.5000
Au 0.5000 0.5000 0.0000
Au 0.2500 0.7500 0.5000
Cu 0.6058 0.1250 0.2500
Cu 0.1442 0.6250 0.2500
Cu 0.3750 0.3942 0.7500
Cu 0.8750 0.8558 0.7500

- Formation energy from the elements: 300 meV per atom
- Magnetization: 0.0 μB/cell
- Symmetry: I-42d (122)

***

# 3
Computed, not measured: a geometry-optimized Ba2FeAg structure at the PBE level of DFT.

Lattice parameters (Å, degrees): 4.0014 4.0014 8.2457 90.00 90.00 91.53
Last column: magnetic moment on the atom in μB.
Positions (direct):
Ag 0.5000 0.5000 0.7500  -0.01
Ba 0.0000 0.0000 0.0104  -0.12
Ba 0.0000 0.0000 0.4896  -0.12
Fe 0.5000 0.5000 0.2500  2.85

- Formation energy from the elements: 337 meV per atom
- Magnetization: 2.1 μB/cell
- Symmetry: Cmmm (65)

***

# 4
Computed, not measured: a geometry-optimized Tb5PrIn6 structure at the PBE level of DFT.

Lattice parameters (Å, degrees): 5.3701 9.3033 9.3033 120.16 106.78 106.78
Positions (direct):
Pr 0.0000 0.0000 0.0000
Tb 0.5000 0.1635 0.8365
Tb 0.0000 0.3320 0.6680
Tb 0.5000 0.5000 0.5000
Tb 0.0000 0.6680 0.3320
Tb 0.5000 0.8365 0.1635
In 0.2551 0.0857 0.4244
In 0.7449 0.5756 0.9143
In 0.7602 0.2602 0.2602
In 0.2398 0.7398 0.7398
In 0.2551 0.4244 0.0857
In 0.7449 0.9143 0.5756

- Formation energy from the elements: -478 meV per atom
- Magnetization: 0.0 μB/cell
- Symmetry: Immm (71)

***

# 5
Computed, not measured: a geometry-optimized LuTh2Mg structure at the PBE level of DFT.

Lattice parameters (Å, degrees): 3.4627 3.4627 10.0065 90.00 90.00 90.00
Positions (direct):
Mg 0.5000 0.5000 0.0000
Lu 0.5000 0.5000 0.5000
Th 0.0000 0.0000 0.7552
Th 0.0000 0.0000 0.2448

- Formation energy from the elements: 70 meV per atom
- Magnetization: 0.0 μB/cell
- Symmetry: P4/mmm (123)

***

# 6
Computed, not measured: a geometry-optimized ZnCdN2F structure at the PBE level of DFT.

Lattice parameters (Å, degrees): 4.3097 4.3097 4.4146 90.00 90.00 90.00
Last column: magnetic moment on the atom in μB.
Positions (direct):
N 0.0000 0.5000 0.0000  1.00
N 0.5000 0.0000 0.0000  1.00
Zn 0.5000 0.5000 0.5000  -0.12
F 0.0000 0.0000 0.5000  0.04
Cd 0.0000 0.0000 0.0000  0.09

- Magnetization: 2.8 μB/cell
- Formation energy without anion corrections: 1.134 eV per atom
- Symmetry: P4/mmm (123)

***

# 7
Computed, not measured: a geometry-optimized Mg4Ga2Pd structure at the PBE level of DFT.

Lattice parameters (Å, degrees): 5.0768 5.0768 7.4922 70.20 70.20 90.00
Positions (direct):
Mg 0.1924 0.1924 0.6152
Mg 0.8076 0.8076 0.3848
Mg 0.0000 0.5000 0.0000
Mg 0.5000 0.0000 0.0000
Ga 0.3959 0.3959 0.2082
Ga 0.6041 0.6041 0.7918
Pd 0.0000 0.0000 0.0000

- Formation energy from the elements: -37 meV per atom
- Magnetization: 0.0 μB/cell
- Symmetry: I4/mmm (139)

***

# 8
Computed, not measured: a geometry-optimized Al2Fe2Si structure at the PBE level of DFT.

Lattice parameters (Å, degrees): 3.4190 3.4190 6.3873 74.48 74.48 90.00
Last column: magnetic moment on the atom in μB.
Positions (direct):
Si 0.0000 0.0000 0.0000  -0.03
Fe 0.4034 0.4034 0.1933  1.18
Fe 0.5966 0.5966 0.8067  1.18
Al 0.7500 0.2500 0.5000  -0.04
Al 0.2500 0.7500 0.5000  -0.04

- Magnetization: 2.1 μB/cell
- Formation energy without anion corrections: 0.184 eV per atom
- Symmetry: I4/mmm (139)

***

# 9
Computed, not measured: a geometry-optimized LiTePI2 structure at the PBE level of DFT.

Lattice parameters (Å, degrees): 5.5699 5.5699 5.3813 90.00 90.00 90.00
Positions (direct):
I 0.0000 0.5000 0.0000
I 0.5000 0.0000 0.0000
P 0.0000 0.0000 0.0000
Te 0.0000 0.0000 0.5000
Li 0.5000 0.5000 0.5000

- Magnetization: 0.0 μB/cell
- Formation energy without anion corrections: 0.010 eV per atom
- Symmetry: P4/mmm (123)

***

# 10
Computed, not measured: a geometry-optimized Sm3PuTh4S8 structure at the PBE level of DFT.

Lattice parameters (Å, degrees): 7.9700 8.0971 7.9700 119.48 120.00 90.00
Last column: magnetic moment on the atom in μB.
Positions (direct):
Sm 0.5000 0.5000 0.0000  0.01
Sm 0.5000 0.5000 0.5000  0.01
Sm 0.0000 0.5000 0.5000  0.01
Pu 0.0000 0.5000 0.0000  5.27
Th 0.5000 0.0000 0.0000  -0.05
Th 0.5000 0.0000 0.5000  0.00
Th 0.0000 0.0000 0.0000  0.00
Th 0.0000 0.0000 0.5000  0.00
S 0.2467 0.7429 0.9962  -0.02
S 0.2467 0.7429 0.4935  -0.02
S 0.2519 0.2556 0.5037  0.00
S 0.7495 0.7429 0.9962  -0.02
S 0.2505 0.2571 0.0038  -0.02
S 0.7481 0.7444 0.4963  0.00
S 0.7533 0.2571 0.5065  -0.02
S 0.7533 0.2571 0.0038  -0.02

- Magnetization: 5.4 μB/cell
- Formation energy without anion corrections: -1.903 eV per atom
- Symmetry: R-3m (166)

***

# 11
Computed, not measured: a geometry-optimized TaCu2Pt structure at the PBE level of DFT.

Lattice parameters (Å, degrees): 9.0047 9.0047 9.0047 17.74 17.74 17.74
Positions (direct):
Cu 0.9980 0.9980 0.9980
Cu 0.5020 0.5020 0.5020
Pt 0.2500 0.2500 0.2500
Ta 0.7500 0.7500 0.7500

- Formation energy from the elements: -7 meV per atom
- Magnetization: 0.0 μB/cell
- Symmetry: R-3m (166)

***

# 12
Computed, not measured: a geometry-optimized PrNd6Tl2 structure at the PBE level of DFT.

Lattice parameters (Å, degrees): 5.5717 6.8763 10.5298 122.32 90.00 113.90
Positions (direct):
Pr 0.0000 0.0000 0.5000
Nd 0.0951 0.1901 0.9219
Nd 0.6452 0.2903 0.1804
Nd 0.3548 0.7097 0.8196
Nd 0.7228 0.4457 0.5739
Nd 0.2772 0.5543 0.4261
Nd 0.9049 0.8099 0.0781
Tl 0.5922 0.1845 0.7615
Tl 0.4078 0.8155 0.2385

- Formation energy from the elements: -158 meV per atom
- Magnetization: 0.0 μB/cell
- Symmetry: C2/m (12)

***

# 13
Computed, not measured: a geometry-optimized BaMgMo structure at the PBE level of DFT.

Lattice parameters (Å, degrees): 5.4842 5.4842 5.4842 60.00 60.00 60.00
Last column: magnetic moment on the atom in μB.
Positions (direct):
Ba 0.2500 0.2500 0.2500  0.07
Mg 0.0000 0.0000 0.0000  -0.02
Mo 0.5000 0.5000 0.5000  3.29

- Formation energy from the elements: 1651 meV per atom
- Magnetization: 4.0 μB/cell
- Symmetry: F-43m (216)

***

# 14
Computed, not measured: a geometry-optimized LiGeI2 structure at the PBE level of DFT.

Lattice parameters (Å, degrees): 4.0199 4.0199 8.5232 76.36 76.36 60.00
Positions (direct):
I 0.2614 0.2614 0.2159
I 0.7386 0.7386 0.7841
Ge 0.5000 0.5000 0.5000
Li 0.0000 0.0000 0.0000

- Magnetization: 0.0 μB/cell
- Formation energy without anion corrections: -0.288 eV per atom
- Symmetry: R-3m (166)

***

# 15
Computed, not measured: a geometry-optimized KLaTb2Se4 structure at the PBE level of DFT.

Lattice parameters (Å, degrees): 4.1748 7.4961 7.3416 71.58 90.00 90.00
Positions (direct):
K 0.0000 0.5000 0.5000
La 0.5000 0.5000 0.0000
Tb 0.0000 0.0000 0.0000
Tb 0.5000 0.0000 0.5000
Se 0.0000 0.7688 0.7468
Se 0.0000 0.2312 0.2532
Se 0.5000 0.7751 0.2357
Se 0.5000 0.2249 0.7643

- Magnetization: 0.0 μB/cell
- Formation energy without anion corrections: -1.792 eV per atom
- Symmetry: P2/m (10)

***

# 16
Computed, not measured: a geometry-optimized KNdIn2Br6 structure at the PBE level of DFT.

Lattice parameters (Å, degrees): 8.1888 8.1896 8.4823 61.13 61.13 59.99
Positions (direct):
K 0.8141 0.8141 0.5577
Nd 0.3217 0.3218 0.0348
In 0.5227 0.5225 0.4316
In 0.0181 0.0179 0.9462
Br 0.5747 0.2027 0.2473
Br 0.2027 0.9754 0.2471
Br 0.9753 0.5749 0.2471
Br 0.4231 0.6805 0.7678
Br 0.6806 0.1287 0.7677
Br 0.1285 0.4232 0.7678

- Magnetization: 0.0 μB/cell
- Formation energy without anion corrections: -1.375 eV per atom
- Symmetry: R3 (146)

***

# 17
Computed, not measured: a geometry-optimized NaAlTe structure at the PBE level of DFT.

Lattice parameters (Å, degrees): 5.6114 5.2199 8.0622 108.89 110.37 90.00
Positions (direct):
Na 0.6233 0.1233 0.2467
Na 0.3767 0.8767 0.7533
Al 0.7146 0.5000 0.0000
Al 0.2854 0.5000 0.0000
Te 0.1478 0.6478 0.2957
Te 0.8522 0.3522 0.7043

- Magnetization: 0.0 μB/cell
- Formation energy without anion corrections: -0.247 eV per atom
- Symmetry: Immm (71)

***

# 18
Computed, not measured: a geometry-optimized Li2AcSn6 structure at the PBE level of DFT.

Lattice parameters (Å, degrees): 4.7173 8.3023 8.3023 53.77 87.51 87.51
Positions (direct):
Li 0.0433 0.3984 0.3984
Li 0.9567 0.6016 0.6016
Ac 0.0000 0.0000 0.0000
Sn 0.2654 0.9946 0.3964
Sn 0.7346 0.0054 0.6036
Sn 0.7346 0.6036 0.0054
Sn 0.5000 0.3113 0.6886
Sn 0.5000 0.6886 0.3113
Sn 0.2654 0.3964 0.9946

- Formation energy from the elements: -263 meV per atom
- Magnetization: 0.0 μB/cell
- Symmetry: C2/m (12)

***

# 19
Computed, not measured: a geometry-optimized Mg17Cd2 structure at the PBE level of DFT.

Lattice parameters (Å, degrees): 7.8766 7.8766 7.8766 80.07 80.07 80.07
Positions (direct):
Mg 0.3410 0.3410 0.8396
Mg 0.3410 0.8396 0.3410
Mg 0.0928 0.0928 0.0928
Mg 0.9072 0.9072 0.9072
Mg 0.0000 0.0000 0.5000
Mg 0.5000 0.0000 0.0000
Mg 0.0000 0.5000 0.0000
Mg 0.3209 0.6791 0.0000
Mg 0.0000 0.3209 0.6791
Mg 0.6791 0.0000 0.3209
Mg 0.6791 0.3209 0.0000
Mg 0.0000 0.6791 0.3209
Mg 0.3209 0.0000 0.6791
Mg 0.6590 0.1604 0.6590
Mg 0.6590 0.6590 0.1604
Mg 0.1604 0.6590 0.6590
Mg 0.8396 0.3410 0.3410
Cd 0.7105 0.7105 0.7105
Cd 0.2895 0.2895 0.2895

- Formation energy from the elements: 109 meV per atom
- Magnetization: 0.0 μB/cell
- Symmetry: R-3m (166)

***

# 20
Computed, not measured: a geometry-optimized YTl2Pt structure at the PBE level of DFT.

Lattice parameters (Å, degrees): 3.6777 3.6777 7.4179 90.00 90.00 90.00
Positions (direct):
Pt 0.5000 0.5000 0.7206
Tl 0.0000 0.0000 0.9769
Tl 0.5000 0.5000 0.2571
Y 0.0000 0.0000 0.5454

- Formation energy from the elements: -441 meV per atom
- Magnetization: 0.0 μB/cell
- Symmetry: P4mm (99)

***

# 21
Computed, not measured: a geometry-optimized TiPSeO2 structure at the PBE level of DFT.

Lattice parameters (Å, degrees): 3.7147 3.7147 5.8698 90.00 90.00 90.00
Last column: magnetic moment on the atom in μB.
Positions (direct):
P 0.0000 0.0000 0.5000  0.00
O 0.0000 0.5000 0.0000  0.10
O 0.5000 0.0000 0.0000  0.10
Se 0.5000 0.5000 0.5000  0.01
Ti 0.0000 0.0000 0.0000  -0.03

- Magnetization: 0.2 μB/cell
- Formation energy without anion corrections: -1.157 eV per atom
- Symmetry: P4/mmm (123)

***

# 22
Computed, not measured: a geometry-optimized KTc2As structure at the PBE level of DFT.

Lattice parameters (Å, degrees): 9.7734 9.7734 9.7734 17.53 17.53 17.53
Positions (direct):
As 0.7500 0.7500 0.7500
K 0.2500 0.2500 0.2500
Tc 0.0191 0.0191 0.0191
Tc 0.4809 0.4809 0.4809

- Formation energy from the elements: 665 meV per atom
- Magnetization: 0.0 μB/cell
- Symmetry: R-3m (166)

***

# 23
Computed, not measured: a geometry-optimized AsOs2Rh structure at the PBE level of DFT.

Lattice parameters (Å, degrees): 4.4474 5.5613 2.7904 75.52 89.88 113.54
Positions (direct):
Rh 0.0000 0.5000 0.5000
As 0.5000 0.5000 0.0000
Os 0.0000 0.0000 0.0000
Os 0.5000 0.0000 0.5000

- Formation energy from the elements: 509 meV per atom
- Magnetization: 0.0 μB/cell
- Symmetry: C2/m (12)

***

# 24
Computed, not measured: a geometry-optimized SmTc2PC structure at the PBE level of DFT.

Lattice parameters (Å, degrees): 3.9281 5.8283 7.1820 90.00 90.00 109.69
Positions (direct):
Sm 0.4573 0.9146 0.7500
Sm 0.5427 0.0854 0.2500
Tc 0.1716 0.3432 0.9398
Tc 0.8284 0.6568 0.0602
Tc 0.1716 0.3432 0.5602
Tc 0.8284 0.6568 0.4398
P 0.7328 0.4655 0.7500
P 0.2672 0.5345 0.2500
C 0.0000 0.0000 0.0000
C 0.0000 0.0000 0.5000

- Formation energy from the elements: -618 meV per atom
- Magnetization: 0.0 μB/cell
- Symmetry: Cmcm (63)

***

# 25
Computed, not measured: a geometry-optimized Zn5PdRh4 structure at the PBE level of DFT.

Lattice parameters (Å, degrees): 3.0346 3.0346 15.1072 90.00 90.00 90.00
Positions (direct):
Zn 0.5000 0.5000 0.1044
Zn 0.5000 0.5000 0.3015
Zn 0.5000 0.5000 0.5000
Zn 0.5000 0.5000 0.6985
Zn 0.5000 0.5000 0.8956
Pd 0.0000 0.0000 0.0000
Rh 0.0000 0.0000 0.2015
Rh 0.0000 0.0000 0.4009
Rh 0.0000 0.0000 0.5991
Rh 0.0000 0.0000 0.7985

- Formation energy from the elements: -433 meV per atom
- Magnetization: 0.0 μB/cell
- Symmetry: P4/mmm (123)